Below is a geometry-optimized Zr2TaIF structure, with properties calculated at the PBE-GGA level.

The structure in CIF format:
```
data_Zr2TaIF
_cell_length_a 5.3566
_cell_length_b 5.3566
_cell_length_c 4.9750
_cell_angle_alpha 90.00
_cell_angle_beta 90.00
_cell_angle_gamma 90.00
_space_group_name_H-M_alt 'P 1'
_space_group_IT_number 1
loop_
_space_group_symop_operation_xyz
'x,y,z'
loop_
_atom_site_label
_atom_site_type_symbol
_atom_site_fract_x
_atom_site_fract_y
_atom_site_fract_z
Zr1 Zr 0.0000 0.5000 0.0000
Zr2 Zr 0.5000 0.0000 0.0000
Ta1 Ta 0.0000 0.0000 0.5000
I1 I 0.0000 0.0000 0.0000
F1 F 0.5000 0.5000 0.5000
```

Output
Total magnetization ... 1.08 μB per formula unit
Electronic total energy ... -5.131 eV per atom
Raw formation energy ... 1.34 eV/atom

Below is a geometry-optimized KAlH4 structure, with properties calculated at the PBE-GGA level.

The structure in CIF format:
```
data_KAlH4
_cell_length_a 7.2749
_cell_length_b 7.2749
_cell_length_c 7.2749
_cell_angle_alpha 137.19
_cell_angle_beta 137.19
_cell_angle_gamma 62.15
_space_group_name_H-M_alt 'P 1'
_space_group_IT_number 1
loop_
_space_group_symop_operation_xyz
'x,y,z'
loop_
_atom_site_label
_atom_site_type_symbol
_atom_site_fract_x
_atom_site_fract_y
_atom_site_fract_z
K1 K 0.3750 0.1250 0.2500
K2 K 0.6250 0.8750 0.7500
Al1 Al 0.1250 0.3750 0.7500
Al2 Al 0.8750 0.6250 0.2500
H1 H 0.0999 0.2143 0.4170
H2 H 0.1829 0.5999 0.3856
H3 H 0.2857 0.2027 0.8856
H4 H 0.2973 0.6829 0.0830
H5 H 0.7027 0.3171 0.9170
H6 H 0.7143 0.7973 0.1144
H7 H 0.8171 0.4001 0.6144
H8 H 0.9001 0.7857 0.5830
```

Output
Total magnetization ... 0.00 μB per formula unit
Electronic total energy ... -3.258 eV per atom

Below is a geometry-optimized CeGaCo3 structure, with properties calculated at the PBE-GGA level.

The structure in CIF format:
```
data_CeGaCo3
_cell_length_a 6.3811
_cell_length_b 6.3811
_cell_length_c 6.3811
_cell_angle_alpha 133.69
_cell_angle_beta 85.19
_cell_angle_gamma 113.14
_space_group_name_H-M_alt 'P 1'
_space_group_IT_number 1
loop_
_space_group_symop_operation_xyz
'x,y,z'
loop_
_atom_site_label
_atom_site_type_symbol
_atom_site_fract_x
_atom_site_fract_y
_atom_site_fract_z
Ce1 Ce 0.3339 0.0839 0.2500
Ce2 Ce 0.6661 0.9161 0.7500
Ga1 Ga 0.0000 0.5000 0.5000
Ga2 Ga 0.5000 0.5000 0.0000
Co1 Co 0.1231 0.0000 0.6231
Co2 Co 0.1231 0.5000 0.1231
Co3 Co 0.2534 0.5034 0.7500
Co4 Co 0.7466 0.4966 0.2500
Co5 Co 0.8769 0.0000 0.3769
Co6 Co 0.8769 0.5000 0.8769
```

Output
Distance to the lowest polymorph of the same formula ... 0.094 eV/atom
Total magnetization ... 2.01 μB per formula unit
Energy of formation ... -0.088 eV/atom
Electronic total energy ... -6.144 eV per atom

Below is a geometry-optimized HfSiTc2Pb structure, with properties calculated at the PBE-GGA level.

The structure in CIF format:
```
data_HfSiTc2Pb
_cell_length_a 4.5015
_cell_length_b 4.5015
_cell_length_c 4.8922
_cell_angle_alpha 90.00
_cell_angle_beta 90.00
_cell_angle_gamma 90.00
_space_group_name_H-M_alt 'P 1'
_space_group_IT_number 1
loop_
_space_group_symop_operation_xyz
'x,y,z'
loop_
_atom_site_label
_atom_site_type_symbol
_atom_site_fract_x
_atom_site_fract_y
_atom_site_fract_z
Hf1 Hf 0.0000 0.0000 0.0000
Si1 Si 0.0000 0.0000 0.5000
Tc1 Tc 0.0000 0.5000 0.5000
Tc2 Tc 0.5000 0.0000 0.5000
Pb1 Pb 0.5000 0.5000 0.0000
```

Output
Total magnetization ... 1.14 μB per formula unit
Electronic total energy ... -7.422 eV per atom
Raw formation energy ... 0.54 eV/atom

Below is a geometry-optimized PmSm2Co9 structure, with properties calculated at the PBE-GGA level.

The structure in CIF format:
```
data_PmSm2Co9
_cell_length_a 8.7113
_cell_length_b 8.7113
_cell_length_c 8.7113
_cell_angle_alpha 33.56
_cell_angle_beta 33.56
_cell_angle_gamma 33.56
_space_group_name_H-M_alt 'P 1'
_space_group_IT_number 1
loop_
_space_group_symop_operation_xyz
'x,y,z'
loop_
_atom_site_label
_atom_site_type_symbol
_atom_site_fract_x
_atom_site_fract_y
_atom_site_fract_z
Pm1 Pm 0.0000 0.0000 0.0000
Sm1 Sm 0.1399 0.1399 0.1399
Sm2 Sm 0.8601 0.8601 0.8601
Co1 Co 0.0803 0.5804 0.5804
Co2 Co 0.3341 0.3341 0.3341
Co3 Co 0.4196 0.4196 0.9197
Co4 Co 0.4196 0.9197 0.4196
Co5 Co 0.5000 0.5000 0.5000
Co6 Co 0.5804 0.0803 0.5804
Co7 Co 0.5804 0.5804 0.0803
Co8 Co 0.6659 0.6659 0.6659
Co9 Co 0.9197 0.4196 0.4196
```

Output
Total magnetization ... 10.34 μB per formula unit
Energy of formation ... -0.088 eV/atom
Electronic total energy ... -6.600 eV per atom

Below is a geometry-optimized Re4Ag structure, with properties calculated at the PBE-GGA level.

The structure in CIF format:
```
data_Re4Ag
_cell_length_a 4.8105
_cell_length_b 4.8105
_cell_length_c 4.8105
_cell_angle_alpha 100.01
_cell_angle_beta 100.01
_cell_angle_gamma 130.71
_space_group_name_H-M_alt 'P 1'
_space_group_IT_number 1
loop_
_space_group_symop_operation_xyz
'x,y,z'
loop_
_atom_site_label
_atom_site_type_symbol
_atom_site_fract_x
_atom_site_fract_y
_atom_site_fract_z
Re1 Re 0.0833 0.6980 0.7814
Re2 Re 0.3020 0.0833 0.3853
Re3 Re 0.6980 0.9167 0.6147
Re4 Re 0.9167 0.3020 0.2186
Ag1 Ag 0.5000 0.5000 0.0000
```

Output
Distance to the lowest polymorph of the same formula ... 0.000 eV/atom
Total magnetization ... 0.00 μB per formula unit
Energy of formation ... 0.387 eV/atom
Electronic total energy ... -10.142 eV per atom

Below is a geometry-optimized La3SbP structure, with properties calculated at the PBE-GGA level.

The structure in CIF format:
```
data_La3SbP
_cell_length_a 8.8483
_cell_length_b 4.4210
_cell_length_c 15.7672
_cell_angle_alpha 90.00
_cell_angle_beta 90.00
_cell_angle_gamma 90.00
_space_group_name_H-M_alt 'P 1'
_space_group_IT_number 1
loop_
_space_group_symop_operation_xyz
'x,y,z'
loop_
_atom_site_label
_atom_site_type_symbol
_atom_site_fract_x
_atom_site_fract_y
_atom_site_fract_z
La1 La 0.0237 0.2500 0.1088
La2 La 0.1533 0.2500 0.5182
La3 La 0.1880 0.7500 0.2841
La4 La 0.3120 0.2500 0.7841
La5 La 0.3467 0.7500 0.0182
La6 La 0.4763 0.7500 0.6088
La7 La 0.5237 0.2500 0.3912
La8 La 0.6533 0.2500 0.9818
La9 La 0.6880 0.7500 0.2159
La10 La 0.8120 0.2500 0.7159
La11 La 0.8467 0.7500 0.4818
La12 La 0.9763 0.7500 0.8912
Sb1 Sb 0.0916 0.7500 0.6783
Sb2 Sb 0.4084 0.2500 0.1783
Sb3 Sb 0.5916 0.7500 0.8217
Sb4 Sb 0.9084 0.2500 0.3217
P1 P 0.1753 0.2500 0.9454
P2 P 0.3247 0.7500 0.4454
P3 P 0.6753 0.2500 0.5546
P4 P 0.8247 0.7500 0.0546
```

Output
Total magnetization ... 0.80 μB per formula unit
Electronic total energy ... -6.034 eV per atom
Raw formation energy ... -1.17 eV/atom

Below is a geometry-optimized Ba3LiSe3 structure, with properties calculated at the PBE-GGA level.

The structure in CIF format:
```
data_Ba3LiSe3
_cell_length_a 10.5645
_cell_length_b 10.5645
_cell_length_c 13.3357
_cell_angle_alpha 90.00
_cell_angle_beta 90.00
_cell_angle_gamma 37.25
_space_group_name_H-M_alt 'P 1'
_space_group_IT_number 1
loop_
_space_group_symop_operation_xyz
'x,y,z'
loop_
_atom_site_label
_atom_site_type_symbol
_atom_site_fract_x
_atom_site_fract_y
_atom_site_fract_z
Ba1 Ba 0.0386 0.6134 0.1329
Ba2 Ba 0.1134 0.5386 0.6329
Ba3 Ba 0.1912 0.8088 0.8571
Ba4 Ba 0.3088 0.6912 0.3571
Ba5 Ba 0.3866 0.9614 0.1329
Ba6 Ba 0.4614 0.8866 0.6329
Ba7 Ba 0.5386 0.1134 0.3671
Ba8 Ba 0.6134 0.0386 0.8671
Ba9 Ba 0.6912 0.3088 0.6429
Ba10 Ba 0.8088 0.1912 0.1429
Ba11 Ba 0.8866 0.4614 0.3671
Ba12 Ba 0.9614 0.3866 0.8671
Li1 Li 0.0819 0.0819 0.5000
Li2 Li 0.4181 0.4181 0.0000
Li3 Li 0.5819 0.5819 0.0000
Li4 Li 0.9181 0.9181 0.5000
Se1 Se 0.0561 0.6216 0.3827
Se2 Se 0.1216 0.5561 0.8827
Se3 Se 0.2073 0.7927 0.6099
Se4 Se 0.2927 0.7073 0.1099
Se5 Se 0.3784 0.9439 0.3827
Se6 Se 0.4439 0.8784 0.8827
Se7 Se 0.5561 0.1216 0.1173
Se8 Se 0.6216 0.0561 0.6173
Se9 Se 0.7073 0.2927 0.8901
Se10 Se 0.7927 0.2073 0.3901
Se11 Se 0.8784 0.4439 0.1173
Se12 Se 0.9439 0.3784 0.6173
```

Output
Total magnetization ... 0.00 μB per formula unit
Electronic total energy ... -4.267 eV per atom
Raw formation energy ... -1.68 eV/atom

Below is a geometry-optimized NpTl2Zn3F12 structure, with properties calculated at the PBE-GGA level.

The structure in CIF format:
```
data_NpTl2Zn3F12
_cell_length_a 7.0646
_cell_length_b 7.0646
_cell_length_c 7.0646
_cell_angle_alpha 65.52
_cell_angle_beta 65.52
_cell_angle_gamma 65.52
_space_group_name_H-M_alt 'P 1'
_space_group_IT_number 1
loop_
_space_group_symop_operation_xyz
'x,y,z'
loop_
_atom_site_label
_atom_site_type_symbol
_atom_site_fract_x
_atom_site_fract_y
_atom_site_fract_z
Np1 Np 0.0000 0.0000 0.0000
Tl1 Tl 0.3897 0.3897 0.3897
Tl2 Tl 0.6103 0.6103 0.6103
Zn1 Zn 0.0000 0.0000 0.5000
Zn2 Zn 0.0000 0.5000 0.0000
Zn3 Zn 0.5000 0.0000 0.0000
F1 F 0.1012 0.7387 0.7387
F2 F 0.1277 0.1277 0.6242
F3 F 0.1277 0.6242 0.1277
F4 F 0.2613 0.2613 0.8988
F5 F 0.2613 0.8988 0.2613
F6 F 0.3758 0.8723 0.8723
F7 F 0.6242 0.1277 0.1277
F8 F 0.7387 0.1012 0.7387
F9 F 0.7387 0.7387 0.1012
F10 F 0.8723 0.3758 0.8723
F11 F 0.8723 0.8723 0.3758
F12 F 0.8988 0.2613 0.2613
```

Output
Total magnetization ... 3.00 μB per formula unit
Electronic total energy ... -4.918 eV per atom
Raw formation energy ... -2.48 eV/atom

Below is a geometry-optimized Ac2NiSb3Pt4 structure, with properties calculated at the PBE-GGA level.

The structure in CIF format:
```
data_Ac2NiSb3Pt4
_cell_length_a 4.6436
_cell_length_b 4.6436
_cell_length_c 10.5342
_cell_angle_alpha 90.00
_cell_angle_beta 90.00
_cell_angle_gamma 90.00
_space_group_name_H-M_alt 'P 1'
_space_group_IT_number 1
loop_
_space_group_symop_operation_xyz
'x,y,z'
loop_
_atom_site_label
_atom_site_type_symbol
_atom_site_fract_x
_atom_site_fract_y
_atom_site_fract_z
Ac1 Ac 0.0000 0.5000 0.2457
Ac2 Ac 0.5000 0.0000 0.7543
Ni1 Ni 0.5000 0.5000 0.0000
Sb1 Sb 0.0000 0.0000 0.0000
Sb2 Sb 0.0000 0.5000 0.6317
Sb3 Sb 0.5000 0.0000 0.3683
Pt1 Pt 0.0000 0.0000 0.5000
Pt2 Pt 0.0000 0.5000 0.8824
Pt3 Pt 0.5000 0.0000 0.1176
Pt4 Pt 0.5000 0.5000 0.5000
```

Output
Total magnetization ... 0.13 μB per formula unit
Electronic total energy ... -5.860 eV per atom
Raw formation energy ... -0.81 eV/atom

Below is a geometry-optimized LiPr3In2 structure, with properties calculated at the PBE-GGA level.

The structure in CIF format:
```
data_LiPr3In2
_cell_length_a 5.4955
_cell_length_b 5.4955
_cell_length_c 13.4785
_cell_angle_alpha 90.00
_cell_angle_beta 90.00
_cell_angle_gamma 120.00
_space_group_name_H-M_alt 'P 1'
_space_group_IT_number 1
loop_
_space_group_symop_operation_xyz
'x,y,z'
loop_
_atom_site_label
_atom_site_type_symbol
_atom_site_fract_x
_atom_site_fract_y
_atom_site_fract_z
Li1 Li 0.3333 0.6667 0.1692
Li2 Li 0.6667 0.3333 0.8308
Pr1 Pr 0.0000 0.0000 0.2507
Pr2 Pr 0.0000 0.0000 0.7493
Pr3 Pr 0.3333 0.6667 0.4170
Pr4 Pr 0.3333 0.6667 0.9180
Pr5 Pr 0.6667 0.3333 0.0820
Pr6 Pr 0.6667 0.3333 0.5830
In1 In 0.0000 0.0000 0.0000
In2 In 0.0000 0.0000 0.5000
In3 In 0.3333 0.6667 0.6749
In4 In 0.6667 0.3333 0.3251
```

Output
Distance to the lowest polymorph of the same formula ... 0.000 eV/atom
Total magnetization ... 0.00 μB per formula unit
Energy of formation ... -0.341 eV/atom
Electronic total energy ... -3.963 eV per atom

Below is a geometry-optimized MnP2Br structure, with properties calculated at the PBE-GGA level.

The structure in CIF format:
```
data_MnP2Br
_cell_length_a 8.6949
_cell_length_b 8.6949
_cell_length_c 8.6949
_cell_angle_alpha 157.23
_cell_angle_beta 151.73
_cell_angle_gamma 36.60
_space_group_name_H-M_alt 'P 1'
_space_group_IT_number 1
loop_
_space_group_symop_operation_xyz
'x,y,z'
loop_
_atom_site_label
_atom_site_type_symbol
_atom_site_fract_x
_atom_site_fract_y
_atom_site_fract_z
Mn1 Mn 0.0000 0.0000 0.0000
P1 P 0.5702 0.0702 0.5000
P2 P 0.6539 0.6539 0.0000
Br1 Br 0.8914 0.3914 0.5000
```

Output
Distance to the lowest polymorph of the same formula ... 0.000 eV/atom
Total magnetization ... 4.44 μB per formula unit
Electronic total energy ... -5.484 eV per atom
Raw formation energy ... -0.07 eV/atom

- Which value of electronic total energy does entry 5 give?
  -6.600 eV per atom